YBeZn: relaxed, GGA-PBE.

Structure (POSCAR):
```
YBeZn
1.0
-2.054 0.505 -3.749
0.863 -6.886 -1.399
-6.149 -1.416 3.178
Y Zn Be
4 4 4
Direct
0.250 0.791 0.494
0.750 0.291 0.006
0.250 0.709 0.994
0.750 0.209 0.506
0.750 0.911 0.196
0.750 0.589 0.696
0.250 0.089 0.804
0.250 0.411 0.304
0.750 0.580 0.308
0.750 0.920 0.808
0.250 0.080 0.192
0.250 0.420 0.692
```

SG ... Pnma (62)
E ... -48.2 eV for the cell shown
Distance to the lowest polymorph of the same formula ... 0.000 eV per atom
Total moment ... 0.0 μB per cell
DOS(E_F) ... 9.69 states/eV per cell
Formation energy ... -0.191 eV per atom